1 | Density functional theory data (GGA-PBE) for a relaxed structure of DyPd5Au2.

Magnetization   0.00 μB/atom
SG   I4/mmm, No. 139

Cell and atoms, written as POSCAR:
```
DyPd5Au2
1.0
3.8542 0.0000 -1.4452
-0.5422 3.8157 -1.4460
0.9755 1.1221 8.4635
Pd Dy Au
5 1 2
Cartesian
0.3929 2.6724 1.0478 Pd
3.8946 2.2653 4.5244 Pd
1.6964 4.1728 4.5241 Pd
2.5911 0.7649 1.0481 Pd
1.6560 1.9078 -1.4456 Pd
0.0000 0.0000 0.0000 Dy
1.3235 1.5235 3.5297 Au
2.9640 3.4142 2.0425 Au
```


2 | Density functional theory data (GGA-PBE) for a relaxed structure of DyPd5Au2.

Magnetization   0.00 μB/atom
SG   Pbam, No. 55

Cell and atoms, written as POSCAR:
```
DyPd5Au2
1.0
4.1655 0.0000 0.0000
0.0000 5.7422 0.0000
0.0000 0.0000 11.4492
Pd Au Dy
10 4 2
Cartesian
0.0000 0.1283 8.5850 Pd
0.0000 2.9994 8.5888 Pd
2.0828 1.5067 10.0274 Pd
0.0000 5.6139 2.8642 Pd
0.0000 2.7428 2.8604 Pd
2.0828 4.2355 1.4217 Pd
0.0000 2.8711 5.7246 Pd
2.0828 4.3778 7.1463 Pd
2.0828 1.3644 4.3029 Pd
0.0000 0.0000 0.0000 Pd
2.0828 1.3095 1.4865 Au
2.0828 4.4327 9.9626 Au
2.0828 4.1806 4.2380 Au
2.0828 1.5616 7.2111 Au
0.0000 2.8711 0.0000 Dy
0.0000 0.0000 5.7246 Dy
```


What should be chosen as the least stable of them? Choose 1.


1 | Density functional theory data (GGA-PBE) for a relaxed structure of DyPd3Au.

Magnetization   0.00 μB/atom
SG   Pmmn, No. 59

Cell and atoms, written as POSCAR:
```
DyPd3Au
1.0
4.4910 0.0000 0.0000
0.0000 5.9734 0.0000
0.0000 0.0000 7.0562
Dy Pd Au
2 6 2
Cartesian
0.0000 2.9867 5.6291 Dy
2.2455 0.0000 1.4271 Dy
0.0000 1.6723 1.7360 Pd
0.0000 4.3011 1.7360 Pd
2.2455 2.9867 0.4861 Pd
2.2455 1.3144 5.3202 Pd
2.2455 4.6590 5.3202 Pd
0.0000 0.0000 6.5701 Pd
2.2455 2.9867 3.1610 Au
0.0000 0.0000 3.8952 Au
```


2 | Density functional theory data (GGA-PBE) for a relaxed structure of DyPd3Au.

Magnetization   0.00 μB/atom
SG   Cmcm, No. 63

Cell and atoms, written as POSCAR:
```
DyPd3Au
1.0
-1.0154 -0.5201 -4.5522
-5.1886 -2.4347 1.4355
-3.3214 5.7061 -2.3274
Pd Dy Au
6 2 2
Cartesian
-6.6100 0.5971 -4.6397 Pd
-8.8804 2.1260 -4.3097 Pd
-6.3443 3.3160 -5.0113 Pd
-2.9155 2.1542 -0.8045 Pd
-0.6450 0.6254 -1.1345 Pd
-3.1812 -0.5647 -0.4328 Pd
-4.0949 3.3178 -3.0940 Dy
-5.4306 -0.5664 -2.3501 Dy
-2.7219 0.4084 -3.0658 Au
-6.8036 2.3430 -2.3784 Au
```


What should be chosen as the least stable of them? Choose 1.


1 | Density functional theory data (GGA-PBE) for a relaxed structure of DyPd4Au5.

Magnetization   0.00 μB/atom
SG   Pmmn, No. 59

Cell and atoms, written as POSCAR:
```
DyPd4Au5
1.0
4.8740 0.0000 0.0000
0.0000 8.1820 0.0000
0.0000 0.0000 9.5951
Au Pd Dy
10 8 2
Cartesian
3.6918 5.4643 7.2399 Au
3.6918 2.7177 2.3552 Au
0.5731 0.0000 4.7975 Au
4.3009 4.0910 0.0000 Au
3.6918 2.7177 7.2399 Au
1.1822 1.3733 2.4423 Au
1.1822 6.8086 7.1527 Au
1.1822 6.8086 2.4423 Au
3.6918 5.4643 2.3552 Au
1.1822 1.3733 7.1527 Au
2.1430 2.0936 0.0000 Pd
1.3198 4.0910 2.0055 Pd
2.7310 1.9974 4.7975 Pd
2.1430 6.0884 0.0000 Pd
1.3198 4.0910 7.5896 Pd
3.5542 0.0000 6.8030 Pd
3.5542 0.0000 2.7921 Pd
2.7310 6.1846 4.7975 Pd
4.2115 0.0000 0.0000 Dy
0.6625 4.0910 4.7975 Dy
```


2 | Density functional theory data (GGA-PBE) for a relaxed structure of DyPd4Au5.

Magnetization   0.00 μB/atom
SG   C2/m, No. 12

Cell and atoms, written as POSCAR:
```
DyPd4Au5
1.0
-1.8073 -3.8798 1.9577
4.0682 -3.1732 -2.5330
3.7345 3.5870 4.8986
Au Dy Pd
5 1 4
Cartesian
2.3831 0.3937 2.9801 Au
2.0153 -0.8106 0.2538 Au
3.9802 -2.6554 4.0695 Au
3.6124 -3.8597 1.3432 Au
1.1305 -3.5265 -0.2876 Au
-0.9036 -1.9399 0.9789 Dy
4.4208 -1.1830 1.7366 Pd
1.5747 -2.2831 2.5867 Pd
1.9307 -1.0951 5.2695 Pd
4.0648 -2.3709 -0.9462 Pd
```


What should be chosen as the least stable of them? Choose 1.


1 | Density functional theory data (GGA-PBE) for a relaxed structure of DyPd8Au2.

Magnetization   0.00 μB/atom
SG   C2/m, No. 12

Cell and atoms, written as POSCAR:
```
DyPd8Au2
1.0
4.6397 1.6583 0.0000
2.7755 6.8791 0.0000
1.3877 3.4396 7.0447
Pd Au Dy
8 2 1
Cartesian
3.2150 5.6264 1.9467 Pd
4.2001 2.9110 1.9467 Pd
3.7076 4.2687 4.3174 Pd
5.0953 7.7082 2.7272 Pd
4.6028 9.0659 5.0979 Pd
5.5879 6.3505 5.0979 Pd
2.5513 3.8301 0.0000 Pd
4.8639 4.7072 0.0000 Pd
2.7755 6.8791 4.4886 Au
1.3877 3.4395 2.5560 Au
2.3198 0.8291 0.0000 Dy
```


2 | Density functional theory data (GGA-PBE) for a relaxed structure of DyPd8Au2.

Magnetization   0.00 μB/atom
SG   C2/m, No. 12

Cell and atoms, written as POSCAR:
```
DyPd8Au2
1.0
3.9294 0.0000 -1.1295
-0.6127 6.0081 -2.1314
0.0331 0.5970 7.5145
Pd Au Dy
8 2 1
Cartesian
0.4337 1.2726 1.5089 Pd
2.9160 5.3326 2.7446 Pd
-0.2590 4.4031 -0.9011 Pd
1.3056 3.7362 4.5419 Pd
3.6088 2.2021 5.1546 Pd
2.1371 5.6854 0.0349 Pd
2.0441 2.8689 -0.2884 Pd
1.2127 0.9198 4.2186 Pd
2.8343 2.4886 2.4603 Au
0.5155 4.1166 1.7932 Au
1.9647 0.0000 -0.5648 Dy
```


What should be chosen as the least stable of them? Choose 1.


1 | Density functional theory data (GGA-PBE) for a relaxed structure of Dy2Pd3Au.

Magnetization   0.00 μB/atom
SG   Ibam, No. 72

Cell and atoms, written as POSCAR:
```
Dy2Pd3Au
1.0
-1.4669 -7.1613 2.4502
7.3371 -2.3914 -2.5969
-1.1932 5.7854 4.0655
Dy Pd Au
4 6 2
Cartesian
0.8191 -0.7730 3.0260 Dy
-0.3905 -4.6295 3.1598 Dy
3.8579 -2.9943 0.8927 Dy
5.0675 0.8622 0.7590 Dy
2.1592 -3.5654 3.0015 Pd
6.1863 -1.3976 -0.3812 Pd
-1.5093 -2.3697 4.3000 Pd
2.5178 -0.2019 0.9172 Pd
1.1008 -4.1785 0.5759 Pd
4.7694 -5.3742 -0.7226 Pd
0.0000 0.0000 0.0000 Au
3.6685 -1.1957 -1.2985 Au
```


2 | Density functional theory data (GGA-PBE) for a relaxed structure of Dy2Pd3Au.

Magnetization   0.00 μB/atom
SG   I4_1/amd, No. 141

Cell and atoms, written as POSCAR:
```
Dy2Pd3Au
1.0
3.7108 1.2607 -9.1433
1.6776 -9.7826 -0.6680
-7.6006 3.5621 2.8180
Dy Au Pd
8 4 12
Cartesian
-4.4391 2.4230 -1.4675 Dy
1.5124 0.8047 -7.9866 Dy
2.8467 -4.0160 -8.1097 Dy
-2.0881 3.1240 -5.8283 Dy
-3.4162 -3.5419 -1.8748 Dy
-1.0652 -2.8410 -6.2356 Dy
-0.7503 0.0360 -2.4114 Dy
0.5840 -4.7847 -2.5345 Dy
-1.9028 0.0950 -6.1708 Au
-3.6014 -0.5130 -1.5324 Au
0.7072 0.4668 -5.0602 Au
1.3892 -4.4468 -5.4609 Au
4.1007 -6.4853 -7.4665 Pd
1.2878 -2.0366 -2.3447 Pd
-1.9133 -5.1003 -4.1855 Pd
-1.1285 -2.6015 -3.4033 Pd
-0.8072 -2.6204 -0.6889 Pd
-3.7687 -5.7306 0.3861 Pd
-0.3267 -7.2773 -3.7225 Pd
-2.9022 -3.2041 0.9669 Pd
0.0316 -7.5117 -1.0229 Pd
-2.1003 -7.8799 0.6477 Pd
2.1635 -7.1434 -2.6934 Pd
3.2249 -1.3785 -7.1178 Pd
```


What should be chosen as the least stable of them? Choose 1.


1 | Density functional theory data (GGA-PBE) for a relaxed structure of Dy2Pd6Au.

Magnetization   0.00 μB/atom
SG   C2/m, No. 12

Cell and atoms, written as POSCAR:
```
Dy2Pd6Au
1.0
-1.9625 -1.8041 -3.1495
-2.3092 -4.7560 4.1631
-3.0570 5.4606 1.4798
Pd Dy Au
6 2 1
Cartesian
-5.0435 -0.4102 3.3775 Pd
-4.7014 -2.7834 1.8209 Pd
-4.7968 -0.2766 0.4444 Pd
-2.5319 -0.8229 2.0490 Pd
-2.2852 -0.6893 -0.8841 Pd
-2.6272 1.6839 0.6725 Pd
-4.8880 2.2177 -0.9275 Dy
-2.4407 -3.3172 3.4208 Dy
-2.1358 -3.2800 0.5068 Au
```


2 | Density functional theory data (GGA-PBE) for a relaxed structure of Dy2Pd6Au.

Magnetization   0.00 μB/atom
SG   C2/m, No. 12

Cell and atoms, written as POSCAR:
```
Dy2Pd6Au
1.0
-1.3675 4.9841 -3.5619
1.7899 -2.1340 -4.9286
-3.5491 -2.6149 -3.5518
Au Pd Dy
1 6 2
Cartesian
0.0000 0.0000 0.0000 Au
-0.4014 1.5844 -6.3193 Pd
-0.1738 -1.1194 -6.3810 Pd
-1.1861 2.2758 -3.8043 Pd
-2.7252 -1.3493 -5.7230 Pd
-1.9406 -2.0407 -8.2380 Pd
-2.9528 1.3545 -5.6613 Pd
-0.8146 -0.7474 -3.4199 Dy
-2.3120 0.9825 -8.6224 Dy
```


What should be chosen as the least stable of them? Choose 2.